# 1
Here is crystalline Zr4Bi3W2N3 at its relaxed geometry from OQMD. Energies are from GGA-PBE.

Values from the calculation:
The value obtained for the uncorrected energy is -0.627 Ry/atom. The space-group type is C2/c.

Unit cell a=6.013 b=6.013 c=14.039 alpha=102.22 beta=102.22 gamma=59.90
Fractional coordinates of all 24 atoms:
Zr  0.022  0.200  0.082
Zr  0.147  0.303  0.418
Zr  0.200  0.022  0.582
Zr  0.303  0.147  0.918
Zr  0.697  0.853  0.082
Zr  0.800  0.978  0.418
Zr  0.853  0.697  0.582
Zr  0.978  0.800  0.918
Bi  0.098  0.902  0.250
Bi  0.260  0.418  0.750
Bi  0.418  0.260  0.250
Bi  0.582  0.740  0.750
Bi  0.740  0.582  0.250
Bi  0.902  0.098  0.750
W  0.366  0.523  0.065
W  0.477  0.634  0.435
W  0.523  0.366  0.565
W  0.634  0.477  0.935
N  0.000  0.500  0.000
N  0.165  0.667  0.500
N  0.333  0.835  0.000
N  0.500  0.000  0.500
N  0.667  0.165  0.000
N  0.835  0.333  0.500


# 2
Here is crystalline PmCu at its relaxed geometry from OQMD. Energies are from GGA-PBE.

Values from the calculation:
The value obtained for the uncorrected energy is -0.274 Ry/atom. The space-group type is F-43m.

Unit cell a=6.327 b=6.327 c=6.327 alpha=90.00 beta=90.00 gamma=90.00
Fractional coordinates of all 8 atoms:
Pm  0.000  0.000  0.000
Pm  0.000  0.500  0.500
Pm  0.500  0.000  0.500
Pm  0.500  0.500  0.000
Cu  0.250  0.250  0.250
Cu  0.250  0.750  0.750
Cu  0.750  0.250  0.750
Cu  0.750  0.750  0.250


# 3
Here is crystalline SnMo2N at its relaxed geometry from OQMD. Energies are from GGA-PBE.

Values from the calculation:
The value obtained for the uncorrected energy is -0.626 Ry/atom. The space-group type is P6_3/mmc.

Unit cell a=3.256 b=3.256 c=13.056 alpha=90.00 beta=90.00 gamma=120.00
Fractional coordinates of all 8 atoms:
Sn  0.333  0.667  0.250
Sn  0.667  0.333  0.750
Mo  0.333  0.667  0.577
Mo  0.333  0.667  0.923
Mo  0.667  0.333  0.077
Mo  0.667  0.333  0.423
N  0.000  0.000  0.000
N  0.000  0.000  0.500


no.,ρ (Mg/m³)
1,10.9
2,5.5
3,9.0